[1]
## CuAgTeSe (PBE)

Data for crystalline CuAgTeSe at its relaxed geometry.

a = 4.179 Å, b = 4.179 Å, c = 20.726 Å
α = 90.00°, β = 90.00°, γ = 120.00°
Atoms (fractional coordinates):
Cu1 0.000 0.000 0.000
Cu2 0.333 0.667 0.667
Cu3 0.667 0.333 0.333
Ag1 0.000 0.000 0.509
Ag2 0.333 0.667 0.175
Ag3 0.667 0.333 0.842
Te1 0.000 0.000 0.376
Te2 0.333 0.667 0.042
Te3 0.667 0.333 0.709
Se1 0.000 0.000 0.887
Se2 0.333 0.667 0.554
Se3 0.667 0.333 0.220

Output
- Raw formation energy: 9 meV per atom
- N(E_F): 3.46 states/eV/f.u.
- Volume: 26.13 Å³/atom
- SG: No. 160

[2]
## Cu2AgTeSe (PBE)

Data for crystalline Cu2AgTeSe at its relaxed geometry.

a = 6.654 Å, b = 4.061 Å, c = 7.917 Å
α = 90.00°, β = 90.20°, γ = 90.00°
Atoms (fractional coordinates):
Cu1 0.006 0.250 0.372
Cu2 0.014 0.750 0.116
Cu3 0.986 0.250 0.884
Cu4 0.994 0.750 0.628
Ag1 0.303 0.750 0.372
Ag2 0.697 0.250 0.628
Te1 0.264 0.250 0.646
Te2 0.736 0.750 0.354
Se1 0.234 0.250 0.116
Se2 0.766 0.750 0.884

Output
- Raw formation energy: -71 meV per atom
- Relative energy among the computed polymorphs: 0.000 eV per atom
- N(E_F): 2.47 states/eV/f.u.
- Volume: 21.40 Å³/atom
- SG: No. 11

[3]
## Cu2AgTeSe (PBE)

Data for crystalline Cu2AgTeSe at its relaxed geometry.

a = 4.426 Å, b = 4.426 Å, c = 6.514 Å
α = 90.00°, β = 90.00°, γ = 90.00°
Atoms (fractional coordinates):
Cu1 0.000 0.500 0.000
Cu2 0.500 0.000 0.000
Ag1 0.000 0.000 0.500
Te1 0.500 0.500 0.500
Se1 0.500 0.500 0.000

Output
- Raw formation energy: 377 meV per atom
- Relative energy among the computed polymorphs: 0.449 eV per atom
- N(E_F): 1.49 states/eV/f.u.
- Volume: 25.52 Å³/atom
- SG: No. 123

[4]
## CuAg4Te3Se8 (PBE)

Data for crystalline CuAg4Te3Se8 at its relaxed geometry.

a = 8.070 Å, b = 8.070 Å, c = 7.919 Å
α = 117.78°, β = 117.78°, γ = 61.39°
Atoms (fractional coordinates):
Cu1 0.000 0.000 0.000
Ag1 0.000 0.000 0.500
Ag2 0.000 0.500 0.000
Ag3 0.500 0.000 0.000
Ag4 0.500 0.500 0.500
Te1 0.000 0.500 0.500
Te2 0.500 0.000 0.500
Te3 0.500 0.500 0.000
Se1 0.195 0.788 0.765
Se2 0.212 0.805 0.235
Se3 0.260 0.260 0.794
Se4 0.280 0.280 0.280
Se5 0.720 0.720 0.720
Se6 0.740 0.740 0.206
Se7 0.788 0.195 0.765
Se8 0.805 0.212 0.235

Output
- Raw formation energy: -4 meV per atom
- N(E_F): 8.23 states/eV/f.u.
- Volume: 23.78 Å³/atom
- SG: No. 12

[5]
## ThCuAg2Se4 (PBE)

Data for crystalline ThCuAg2Se4 at its relaxed geometry.

a = 7.131 Å, b = 7.131 Å, c = 13.174 Å
α = 90.00°, β = 90.00°, γ = 146.32°
Atoms (fractional coordinates):
Th1 0.093 0.907 0.750
Th2 0.907 0.093 0.250
Cu1 0.169 0.831 0.250
Cu2 0.831 0.169 0.750
Ag1 0.380 0.620 0.557
Ag2 0.380 0.620 0.943
Ag3 0.620 0.380 0.057
Ag4 0.620 0.380 0.443
Se1 0.000 0.000 0.000
Se2 0.000 0.000 0.500
Se3 0.304 0.696 0.126
Se4 0.304 0.696 0.374
Se5 0.432 0.568 0.750
Se6 0.568 0.432 0.250
Se7 0.696 0.304 0.626
Se8 0.696 0.304 0.874

Output
- Raw formation energy: -609 meV per atom
- N(E_F): 3.47 states/eV/f.u.
- Volume: 23.22 Å³/atom
- SG: No. 63

[6]
## TiCuAgSe3 (PBE)

Data for crystalline TiCuAgSe3 at its relaxed geometry.

a = 8.430 Å, b = 3.683 Å, c = 8.709 Å
α = 90.00°, β = 106.41°, γ = 90.00°
Atoms (fractional coordinates):
Ti1 0.171 0.250 0.199
Ti2 0.829 0.750 0.801
Cu1 0.390 0.750 0.425
Cu2 0.610 0.250 0.575
Ag1 0.368 0.250 0.903
Ag2 0.632 0.750 0.097
Se1 0.098 0.750 0.365
Se2 0.155 0.750 0.970
Se3 0.485 0.250 0.278
Se4 0.515 0.750 0.722
Se5 0.845 0.250 0.030
Se6 0.902 0.250 0.635

Output
- Raw formation energy: -576 meV per atom
- N(E_F): 0.43 states/eV/f.u.
- Volume: 21.62 Å³/atom
- SG: No. 11

[7]
## TlCuAgSe2 (PBE)

Data for crystalline TlCuAgSe2 at its relaxed geometry.

a = 6.854 Å, b = 6.854 Å, c = 7.259 Å
α = 90.00°, β = 90.00°, γ = 131.23°
Atoms (fractional coordinates):
Tl1 0.250 0.750 0.788
Tl2 0.750 0.250 0.212
Cu1 0.250 0.250 0.000
Cu2 0.750 0.750 0.000
Ag1 0.000 0.000 0.500
Ag2 0.500 0.500 0.500
Se1 0.107 0.893 0.205
Se2 0.393 0.607 0.205
Se3 0.607 0.393 0.795
Se4 0.893 0.107 0.795

Output
- Raw formation energy: -146 meV per atom
- N(E_F): 2.97 states/eV/f.u.
- Volume: 25.65 Å³/atom
- SG: No. 67

[8]
## TmCuAg2Se4 (PBE)

Data for crystalline TmCuAg2Se4 at its relaxed geometry.

a = 7.151 Å, b = 7.151 Å, c = 12.985 Å
α = 90.00°, β = 90.00°, γ = 148.08°
Atoms (fractional coordinates):
Tm1 0.095 0.905 0.750
Tm2 0.905 0.095 0.250
Cu1 0.170 0.830 0.250
Cu2 0.830 0.170 0.750
Ag1 0.371 0.629 0.560
Ag2 0.371 0.629 0.940
Ag3 0.629 0.371 0.060
Ag4 0.629 0.371 0.440
Se1 0.000 0.000 0.000
Se2 0.000 0.000 0.500
Se3 0.305 0.695 0.128
Se4 0.305 0.695 0.372
Se5 0.439 0.561 0.750
Se6 0.561 0.439 0.250
Se7 0.695 0.305 0.628
Se8 0.695 0.305 0.872

Output
- Raw formation energy: -532 meV per atom
- N(E_F): 3.67 states/eV/f.u.
- Volume: 21.94 Å³/atom
- SG: No. 63

[9]
## UCu2Ag3Se6 (PBE)

Data for crystalline UCu2Ag3Se6 at its relaxed geometry.

a = 6.546 Å, b = 6.546 Å, c = 6.898 Å
α = 100.08°, β = 100.08°, γ = 114.41°
Atoms (fractional coordinates):
U1 0.000 0.000 0.000
Cu1 0.322 0.678 0.000
Cu2 0.678 0.322 0.000
Ag1 0.135 0.865 0.500
Ag2 0.500 0.500 0.500
Ag3 0.865 0.135 0.500
Se1 0.044 0.396 0.251
Se2 0.302 0.302 0.806
Se3 0.396 0.044 0.251
Se4 0.604 0.956 0.749
Se5 0.698 0.698 0.194
Se6 0.956 0.604 0.749

Output
- Raw formation energy: -340 meV per atom
- N(E_F): 8.73 states/eV/f.u.
- Volume: 21.23 Å³/atom
- SG: No. 12

[10]
## UCuAgSe4 (PBE)

Data for crystalline UCuAgSe4 at its relaxed geometry.

a = 7.691 Å, b = 7.691 Å, c = 7.691 Å
α = 119.65°, β = 113.33°, γ = 96.28°
Atoms (fractional coordinates):
U1 0.000 0.000 0.000
U2 0.500 0.000 0.500
Cu1 0.500 0.000 0.000
Cu2 0.500 0.500 0.500
Ag1 0.018 0.268 0.750
Ag2 0.982 0.732 0.250
Se1 0.214 0.196 0.482
Se2 0.214 0.732 0.018
Se3 0.298 0.735 0.562
Se4 0.327 0.265 0.062
Se5 0.673 0.735 0.938
Se6 0.702 0.265 0.438
Se7 0.786 0.268 0.982
Se8 0.786 0.804 0.518

Output
- Raw formation energy: -544 meV per atom
- N(E_F): 7.21 states/eV/f.u.
- Volume: 23.96 Å³/atom
- SG: No. 74

[11]
## U3CuAg3Se8 (PBE)

Data for crystalline U3CuAg3Se8 at its relaxed geometry.

a = 8.021 Å, b = 8.021 Å, c = 8.021 Å
α = 61.06°, β = 61.06°, γ = 61.06°
Atoms (fractional coordinates):
U1 0.000 0.500 0.500
U2 0.500 0.000 0.500
U3 0.500 0.500 0.000
Cu1 0.000 0.000 0.000
Ag1 0.000 0.000 0.500
Ag2 0.000 0.500 0.000
Ag3 0.500 0.000 0.000
Se1 0.241 0.241 0.753
Se2 0.241 0.753 0.241
Se3 0.247 0.759 0.759
Se4 0.249 0.249 0.249
Se5 0.751 0.751 0.751
Se6 0.753 0.241 0.241
Se7 0.759 0.247 0.759
Se8 0.759 0.759 0.247

Output
- Raw formation energy: -614 meV per atom
- N(E_F): 14.65 states/eV/f.u.
- Volume: 24.91 Å³/atom
- SG: No. 166

[12]
## UCuAg2Se4 (PBE)

Data for crystalline UCuAg2Se4 at its relaxed geometry.

a = 6.696 Å, b = 6.696 Å, c = 14.252 Å
α = 90.00°, β = 90.00°, γ = 146.53°
Atoms (fractional coordinates):
U1 0.131 0.869 0.750
U2 0.869 0.131 0.250
Cu1 0.156 0.844 0.250
Cu2 0.844 0.156 0.750
Ag1 0.374 0.626 0.570
Ag2 0.374 0.626 0.930
Ag3 0.626 0.374 0.070
Ag4 0.626 0.374 0.430
Se1 0.000 0.000 0.000
Se2 0.000 0.000 0.500
Se3 0.287 0.713 0.121
Se4 0.287 0.713 0.379
Se5 0.465 0.535 0.750
Se6 0.535 0.465 0.250
Se7 0.713 0.287 0.621
Se8 0.713 0.287 0.879

Output
- Raw formation energy: -388 meV per atom
- N(E_F): 5.82 states/eV/f.u.
- Volume: 22.03 Å³/atom
- SG: No. 63